Ba2SiOs: optimized geometry, GGA-PBE.

As for the raw formation energy: -0.62 eV/f.u. The value obtained for the total energy is -5.279 eV/atom.

a = 7.306 Å, b = 4.222 Å, c = 9.390 Å
α = 90.00°, β = 105.08°, γ = 90.00°
Space group Cm (No. 8)
Unique sites:
Ba  0.000  0.000  0.000 (multiplicity 2)
Ba  0.170  0.000  0.509 (multiplicity 2)
Si  0.252  0.500  0.255 (multiplicity 2)
Os  0.418  0.000  0.254 (multiplicity 2)

Ba2SiOs2: optimized geometry, GGA-PBE.

For the energy above the most stable polymorph in this dataset, the calculation gives 336.3 meV per atom. As for the raw formation energy: 3.63 eV/f.u. The value obtained for the total energy is -5.619 eV/atom.

a = 6.338 Å, b = 6.338 Å, c = 7.164 Å
α = 90.00°, β = 90.00°, γ = 90.00°
Space group I4/mmm (No. 139)
Unique sites:
Ba  0.000  0.500  0.250 (multiplicity 4)
Si  0.000  0.000  0.000 (multiplicity 2)
Os  0.000  0.000  0.324 (multiplicity 4)

Ba2SiOs: optimized geometry, GGA-PBE.

As for the raw formation energy: 0.20 eV/f.u. The value obtained for the total energy is -5.076 eV/atom.

a = 4.173 Å, b = 4.964 Å, c = 12.582 Å
α = 90.00°, β = 90.00°, γ = 90.00°
Space group Imm2 (No. 44)
Unique sites:
Ba  0.000  0.000  0.000 (multiplicity 2)
Ba  0.000  0.500  0.226 (multiplicity 2)
Si  0.000  0.000  0.414 (multiplicity 2)
Os  0.000  0.500  0.833 (multiplicity 2)

Ba2SiOs: optimized geometry, GGA-PBE.

As for the raw formation energy: 3.95 eV/f.u. The value obtained for the total energy is -4.137 eV/atom.

a = 3.8129 Å, b = 3.8129 Å, c = 29.5340 Å
α = 90.00°, β = 90.00°, γ = 120.00°
Space group R-3m (No. 166, hexagonal axes)
Unique sites:
Ba  0.0000  0.0000  0.2436 (multiplicity 6)
Si  0.0000  0.0000  0.0000 (multiplicity 3)
Os  0.0000  0.0000  0.5000 (multiplicity 3)

BaSiOs2: optimized geometry, GGA-PBE.

As for the raw formation energy: 2.28 eV/f.u. The value obtained for the total energy is -6.882 eV/atom.

a = 3.027 Å, b = 3.754 Å, c = 7.233 Å
α = 90.00°, β = 97.10°, γ = 90.00°
Space group P2/m (No. 10)
Unique sites:
Ba  0.000  0.000  0.000 (multiplicity 1)
Si  0.000  0.000  0.500 (multiplicity 1)
Os  0.341  0.500  0.658 (multiplicity 2)

BaSiOs2: optimized geometry, GGA-PBE.

As for the raw formation energy: 2.80 eV/f.u. The value obtained for the total energy is -6.751 eV/atom.

a = 3.0744 Å, b = 3.0744 Å, c = 27.1564 Å
α = 90.00°, β = 90.00°, γ = 120.00°
Space group R-3m (No. 166, hexagonal axes)
Unique sites:
Ba  0.0000  0.0000  0.0000 (multiplicity 3)
Si  0.0000  0.0000  0.5000 (multiplicity 3)
Os  0.0000  0.0000  0.2286 (multiplicity 6)

Ba2SiOs: optimized geometry, GGA-PBE.

As for the raw formation energy: 0.49 eV/f.u. The value obtained for the total energy is -5.002 eV/atom.

a = 11.799 Å, b = 11.799 Å, c = 4.658 Å
α = 90.00°, β = 90.00°, γ = 90.00°
Space group I-42d (No. 122)
Unique sites:
Ba  0.067  0.250  0.125 (multiplicity 8)
Si  0.000  0.000  0.500 (multiplicity 4)
Os  0.000  0.000  0.000 (multiplicity 4)

Ba2SiOs: optimized geometry, GGA-PBE.

As for the raw formation energy: 3.02 eV/f.u. The value obtained for the total energy is -4.371 eV/atom.

a = 7.248 Å, b = 9.272 Å, c = 3.355 Å
α = 90.00°, β = 90.00°, γ = 90.00°
Space group Cmmm (No. 65)
Unique sites:
Ba  0.250  0.250  0.000 (multiplicity 4)
Si  0.000  0.000  0.500 (multiplicity 2)
Os  0.000  0.500  0.500 (multiplicity 2)

Ba2SiOs: optimized geometry, GGA-PBE.

As for the raw formation energy: -0.07 eV/f.u. The value obtained for the total energy is -5.141 eV/atom.

a = 4.237 Å, b = 4.957 Å, c = 12.030 Å
α = 90.00°, β = 90.00°, γ = 90.00°
Space group Amm2 (No. 38)
Unique sites:
Ba  0.000  0.000  0.000 (multiplicity 2)
Ba  0.500  0.000  0.285 (multiplicity 2)
Si  0.500  0.000  0.597 (multiplicity 2)
Os  0.000  0.000  0.683 (multiplicity 2)

BaSiOs2: optimized geometry, GGA-PBE.

As for the raw formation energy: 5.53 eV/f.u. The value obtained for the total energy is -6.070 eV/atom.

a = 2.876 Å, b = 4.995 Å, c = 5.435 Å
α = 90.00°, β = 90.00°, γ = 90.00°
Space group Pmmm (No. 47)
Unique sites:
Ba  0.000  0.000  0.000 (multiplicity 1)
Si  0.500  0.500  0.000 (multiplicity 1)
Os  0.000  0.500  0.500 (multiplicity 1)
Os  0.500  0.000  0.500 (multiplicity 1)

Ba2SiOs: optimized geometry, GGA-PBE.

As for the raw formation energy: 3.08 eV/f.u. The value obtained for the total energy is -4.355 eV/atom.

a = 7.464 Å, b = 7.464 Å, c = 7.464 Å
α = 90.00°, β = 90.00°, γ = 90.00°
Space group F-43m (No. 216)
Unique sites:
Ba  0.000  0.000  0.000 (multiplicity 4)
Ba  0.250  0.250  0.250 (multiplicity 4)
Si  0.000  0.000  0.500 (multiplicity 4)
Os  0.250  0.250  0.750 (multiplicity 4)

BaSiOs2: optimized geometry, GGA-PBE.

As for the raw formation energy: 1.79 eV/f.u. The value obtained for the total energy is -7.005 eV/atom.

a = 8.988 Å, b = 3.063 Å, c = 6.505 Å
α = 90.00°, β = 106.17°, γ = 90.00°
Space group C2/m (No. 12)
Unique sites:
Ba  0.000  0.000  0.000 (multiplicity 2)
Si  0.000  0.500  0.500 (multiplicity 2)
Os  0.208  0.000  0.635 (multiplicity 4)

BaSiOs2: optimized geometry, GGA-PBE.

As for the raw formation energy: 5.05 eV/f.u. The value obtained for the total energy is -6.189 eV/atom.

a = 6.123 Å, b = 9.266 Å, c = 2.994 Å
α = 90.00°, β = 118.88°, γ = 90.00°
Space group C2/m (No. 12)
Unique sites:
Ba  0.000  0.000  0.000 (multiplicity 2)
Si  0.000  0.500  0.000 (multiplicity 2)
Os  0.250  0.250  0.500 (multiplicity 4)

Ba4SiOs: optimized geometry, GGA-PBE.

As for the raw formation energy: 7.78 eV/f.u. The value obtained for the total energy is -2.760 eV/atom.

a = 9.552 Å, b = 9.552 Å, c = 9.552 Å
α = 90.00°, β = 90.00°, γ = 90.00°
Space group F-43m (No. 216)
Unique sites:
Ba  0.125  0.125  0.125 (multiplicity 16)
Si  0.000  0.000  0.500 (multiplicity 4)
Os  0.250  0.250  0.750 (multiplicity 4)

BaSiOs2: optimized geometry, GGA-PBE.

As for the raw formation energy: 3.60 eV/f.u. The value obtained for the total energy is -6.552 eV/atom.

a = 2.928 Å, b = 5.637 Å, c = 10.187 Å
α = 90.00°, β = 90.00°, γ = 90.00°
Space group Imm2 (No. 44)
Unique sites:
Ba  0.000  0.000  0.000 (multiplicity 2)
Si  0.000  0.500  0.213 (multiplicity 2)
Os  0.000  0.000  0.517 (multiplicity 2)
Os  0.000  0.500  0.813 (multiplicity 2)